Record 1
! YTlTc2Br, relaxed, DFT GGA-PBE; values from VASP
&SYSTEM
  ibrav = 0, nat = 5, ntyp = 4
/
ATOMIC_SPECIES
Y 88.91 Y.upf
Tl 204.38 Tl.upf
Tc 98.00 Tc.upf
Br 79.90 Br.upf
CELL_PARAMETERS angstrom
5.211 0.000 0.000
0.000 5.211 0.000
0.000 0.000 5.592
ATOMIC_POSITIONS crystal
Y 0.000 0.000 0.000
Tl 0.500 0.500 0.500
Tc 0.000 0.500 0.000
Tc 0.500 0.000 0.000
Br 0.000 0.000 0.500
! Formation energy without anion corrections, eV per atom: 1.29

Record 2
! CaSmY2In4, relaxed, DFT GGA-PBE; values from VASP
&SYSTEM
  ibrav = 0, nat = 8, ntyp = 4
/
ATOMIC_SPECIES
Ca 40.08 Ca.upf
Sm 150.36 Sm.upf
Y 88.91 Y.upf
In 114.82 In.upf
CELL_PARAMETERS angstrom
2.682 1.548 8.811
-2.682 1.548 8.811
0.000 -3.097 8.811
ATOMIC_POSITIONS crystal
Ca 0.000 0.000 0.000
Sm 0.500 0.500 0.500
Y 0.252 0.252 0.252
Y 0.748 0.748 0.748
In 0.125 0.125 0.125
In 0.375 0.375 0.375
In 0.625 0.625 0.625
In 0.875 0.875 0.875
! Formation enthalpy at 0 K, meV per atom: -483

Results for E: -24.79, -34.46 (in eV per cell, following the order of the records).